Record 1
A geometry-optimized DyTcGe2Ir structure, computed with PBE-GGA.

Cell: 4.2815 4.2815 5.8206 Å, 111.58 111.58 90.00°
With the nearest neighbours (Å) after each atom.
Fractional coordinates of all 5 atoms:
Dy  0.0000  0.0000  0.0000  4 Tc 3.28, 4 Ir 3.28, 8 Ge 3.28
Tc  0.2500  0.7500  0.5000  4 Ge 2.46
Ge  0.6273  0.6273  0.2547  2 Tc 2.46, 2 Ir 2.46, 1 Ge 2.53
Ge  0.3727  0.3727  0.7453  2 Tc 2.46, 2 Ir 2.46, 1 Ge 2.53
Ir  0.7500  0.2500  0.5000  4 Ge 2.46

The calculated formation energy comes out at -0.613 eV/atom. The space group is I-4m2. The density of states at the Fermi level comes out at 2.997 states/eV/cell. The calculated density is 10.897 g/cm³.

Record 2
A geometry-optimized Dy8Ge3Te4Ir structure, computed with PBE-GGA.

Cell: 8.4311 8.6330 8.4313 Å, 119.23 120.00 90.00°
With the nearest neighbours (Å) after each atom.
Fractional coordinates of all 16 atoms:
Dy  0.2355  0.7142  0.9787  1 Ir 2.84, 2 Ge 2.89, 2 Te 3.16
Dy  0.2355  0.7142  0.4711  1 Ir 2.84, 2 Ge 2.89, 2 Te 3.16
Dy  0.2592  0.2776  0.5184  3 Ge 2.90, 3 Te 3.14
Dy  0.7431  0.7142  0.9787  1 Ir 2.84, 2 Ge 2.89, 2 Te 3.16
Dy  0.2569  0.2858  0.0213  1 Ir 2.84, 2 Ge 2.89, 2 Te 3.16
Dy  0.7408  0.7224  0.4816  3 Ge 2.90, 3 Te 3.14
Dy  0.7645  0.2858  0.5289  1 Ir 2.84, 2 Ge 2.89, 2 Te 3.16
Dy  0.7645  0.2858  0.0213  1 Ir 2.84, 2 Ge 2.89, 2 Te 3.16
Ge  0.5000  0.5000  0.0000  6 Dy 2.89-2.90
Ge  0.5000  0.5000  0.5000  6 Dy 2.89-2.90
Ge  0.0000  0.5000  0.5000  6 Dy 2.89-2.90
Te  0.5000  0.0000  0.0000  6 Dy 3.20
Te  0.5000  0.0000  0.5000  6 Dy 3.14-3.16
Te  0.0000  0.0000  0.0000  6 Dy 3.14-3.16
Te  0.0000  0.0000  0.5000  6 Dy 3.14-3.16
Ir  0.0000  0.5000  0.0000  6 Dy 2.84

The formation energy without anion corrections is -1131.9 meV/atom. The space group is R-3m. The density of states at the Fermi level comes out at 5.462 states/eV/cell. The calculated density is 8.401 g/cm³.

Record 3
A geometry-optimized Dy6GeTe3Ir2 structure, computed with PBE-GGA.

Cell: 7.1981 7.1981 7.6449 Å, 99.09 99.09 120.09°
With the nearest neighbours (Å) after each atom.
Fractional coordinates of all 12 atoms:
Dy  0.9302  0.5856  0.7875  2 Ir 2.81-2.83, 1 Ge 2.91, 1 Te 3.14
Dy  0.7280  0.7280  0.2118  2 Ir 2.82, 1 Ge 2.91, 1 Te 3.13
Dy  0.0698  0.4144  0.2125  2 Ir 2.81-2.83, 1 Ge 2.91, 1 Te 3.14
Dy  0.5856  0.9302  0.7875  2 Ir 2.81-2.83, 1 Ge 2.91, 1 Te 3.14
Dy  0.2720  0.2720  0.7882  2 Ir 2.82, 1 Ge 2.91, 1 Te 3.13
Dy  0.4144  0.0698  0.2125  2 Ir 2.81-2.83, 1 Ge 2.91, 1 Te 3.14
Ge  0.0000  0.0000  0.0000  6 Dy 2.91
Te  0.1639  0.8361  0.5000  6 Dy 3.14-3.21
Te  0.8361  0.1639  0.5000  6 Dy 3.14-3.21
Te  0.5000  0.5000  0.5000  6 Dy 3.13-3.21
Ir  0.3335  0.6665  0.0000  6 Dy 2.81-2.83
Ir  0.6665  0.3335  0.0000  6 Dy 2.81-2.83

The formation energy without anion corrections is -1067.3 meV/atom. The space group is C2/m. The density of states at the Fermi level comes out at 6.102 states/eV/cell. The calculated density is 9.270 g/cm³.

- Number 3 is which compound?
  Dy6GeTe3Ir2